Entry 1:
Material: RbAcAgO4
Method: DFT, PBE
State: relaxed

The space group is P2_1/m (No. 11) and the conventional cell measures 6.311, 5.483 and 8.937 Å, with angles of 90.00, 103.67 and 90.00 degrees. The inequivalent atoms are Rb at (0.142, 0.250, 0.136), Ac at (0.253, 0.750, 0.465), Ag at (0.301, 0.250, 0.725), O at (0.030, 0.250, 0.801), O at (0.119, 0.250, 0.470) and O at (0.488, 0.504, 0.323).

The value obtained for the electronic total energy is -5.260 eV/atom. For the total moment, the calculation gives 1.17 μB/f.u.

---

Entry 2:
Material: KTaTe2
Method: DFT, PBE
State: relaxed

The space group is Imm2 (No. 44) and the conventional cell measures 3.671, 3.800 and 16.853 Å, with angles of 90.00, 90.00 and 90.00 degrees. The inequivalent atoms are K at (0.000, 0.000, 0.000), Ta at (0.000, 0.500, 0.748), Te at (0.000, 0.000, 0.369) and Te at (0.000, 0.500, 0.174).

The value obtained for the electronic total energy is -5.111 eV/atom. For the total moment, the calculation gives 0.00 μB/f.u.

---

| no. | formation energy without anion corrections (eV per atom) |
| --- | --- |
| 1 | -1.29 |
| 2 | -0.30 |